(1)
The following is a GGA-PBEsol calculation of a relaxed Ta3HPb crystal, from Alexandria via LeMat-Bulk.

Lattice parameters (Å, degrees): 5.1052 5.1052 5.1052 90.00 90.00 90.00
Closest atoms and distances in Å follow each position.
Positions (direct):
Ta (0.0000, 0.0000, 0.5000)  2 Pb 2.55
H (0.5000, 0.5000, 0.5000)  12 Ta 3.61
Ta (0.0000, 0.5000, 0.0000)  2 Pb 2.55
Ta (0.5000, 0.0000, 0.0000)  2 Pb 2.55
Pb (0.0000, 0.0000, 0.0000)  6 Ta 2.55

Output
Volume: 26.61 Å³ per atom
Raw total energy: -28.941 eV for the cell shown
Density: 9.37 g/cm3
Symmetry: Pm-3m, No. 221

(2)
The following is a GGA-PBEsol calculation of a relaxed SbOsRu2 crystal, from Alexandria via LeMat-Bulk.

Lattice parameters (Å, degrees): 3.9241 3.9241 4.7517 114.39 114.39 90.00
Closest atoms and distances in Å follow each position.
Positions (direct):
Os (0.0000, 0.0000, 0.0000)  8 Ru 2.75, 4 Sb 2.77
Ru (0.7500, 0.2500, 0.5000)  4 Sb 2.75, 4 Os 2.75, 4 Ru 2.77
Ru (0.2500, 0.7500, 0.5000)  4 Sb 2.75, 4 Os 2.75, 4 Ru 2.77
Sb (0.5000, 0.5000, 0.0000)  8 Ru 2.75, 4 Os 2.77

Output
Volume: 14.85 Å³ per atom
Density: 14.37 g/cm3
Symmetry: I4/mmm, No. 139
Energy relative to the elements, uncorrected: 1.0 eV per formula unit

(3)
The following is a GGA-PBEsol calculation of a relaxed Sc5Hg3 crystal, from Alexandria via LeMat-Bulk.

Lattice parameters (Å, degrees): 4.8123 6.0833 6.0833 106.71 90.00 90.00
Closest atoms and distances in Å follow each position.
Positions (direct):
Sc (0.5000, 0.2767, 0.2767)  6 Hg 2.90-3.20, 3 Sc 3.13-3.24
Sc (0.0000, 0.0000, 0.0000)  8 Sc 3.04-3.13, 4 Hg 3.21
Sc (0.0000, 0.0000, 0.5000)  6 Hg 3.03-3.04, 2 Sc 3.04
Sc (0.5000, 0.7233, 0.7233)  6 Hg 2.90-3.20, 3 Sc 3.13-3.24
Hg (0.5000, 0.7820, 0.2180)  10 Sc 2.93-3.21
Hg (0.0000, 0.5000, 0.5000)  8 Sc 2.90-3.04
Sc (0.0000, 0.5000, 0.0000)  6 Hg 3.03-3.04, 2 Sc 3.04
Hg (0.5000, 0.2180, 0.7820)  10 Sc 2.93-3.21

Output
Volume: 21.32 Å³ per atom
Density: 8.05 g/cm3
DFT formation energy: -0.37 eV/atom
Symmetry: Cmmm, No. 65
Excess energy over the best structure of this formula in the dataset: 31.6 meV per atom

Q: Which of these has the lowest density?
A: Sc5Hg3

Q: What is the volume in the third record?
A: 21.32 Å³ per atom